VASP calculation (GGA-PBE) on an optimized crystal structure of HoEr2ScBi4.

```
HoEr2ScBi4
1.0
-3.319 -1.194 2.650
1.947 -7.332 -0.865
3.725 2.933 5.987
Er Bi Sc Ho
2 4 1 1
Direct
0.000 0.500 0.500 Er
0.500 0.000 0.500 Er
0.000 0.258 0.758 Bi
0.500 0.255 0.247 Bi
0.500 0.745 0.753 Bi
0.000 0.742 0.242 Bi
0.500 0.500 0.000 Sc
0.000 0.000 0.000 Ho
```

## Properties
The density of states at the Fermi level is 1.4 states/eV/f.u. As for the space group: P2/m (10). Its energy relative to the elements is -74.54 kJ/mol of atoms.